(a)
Entry from Alexandria via LeMat-Bulk: a geometry-optimized Ge3HS structure (GGA-PBE).

Output
**DOS(E_F)**: 1.50 states/eV per cell

```
data_Ge3HS
_symmetry_space_group_name_H-M 'P 1'
_symmetry_Int_Tables_number 1
_cell_length_a 4.3432
_cell_length_b 4.3432
_cell_length_c 4.3432
_cell_angle_alpha 90.00
_cell_angle_beta 90.00
_cell_angle_gamma 90.00
loop_
_symmetry_equiv_pos_as_xyz
'x,y,z'
loop_
_atom_site_label
_atom_site_type_symbol
_atom_site_fract_x
_atom_site_fract_y
_atom_site_fract_z
H1 H 0.0000 0.0000 0.0000
Ge1 Ge 0.0000 0.5000 0.0000
Ge2 Ge 0.0000 0.0000 0.5000
Ge3 Ge 0.5000 0.0000 0.0000
S1 S 0.5000 0.5000 0.5000
```

=====

(b)
Entry from Alexandria via LeMat-Bulk: a geometry-optimized Ge3HS structure (GGA-PBE).

Output
**DOS(E_F)**: 2.95 states/eV per cell

```
data_Ge3HS
_symmetry_space_group_name_H-M 'P 1'
_symmetry_Int_Tables_number 1
_cell_length_a 5.0063
_cell_length_b 5.0063
_cell_length_c 5.0063
_cell_angle_alpha 90.00
_cell_angle_beta 90.00
_cell_angle_gamma 90.00
loop_
_symmetry_equiv_pos_as_xyz
'x,y,z'
loop_
_atom_site_label
_atom_site_type_symbol
_atom_site_fract_x
_atom_site_fract_y
_atom_site_fract_z
H1 H 0.5000 0.5000 0.5000
Ge1 Ge 0.0000 0.5000 0.0000
Ge2 Ge 0.0000 0.0000 0.5000
Ge3 Ge 0.5000 0.0000 0.0000
S1 S 0.0000 0.0000 0.0000
```

=====

Least stable structure: (b)